(1)
A relaxed structure of Cs2Er2USe6. Source: the Alexandria database, functional PBE.

Unit cell a=7.2218 b=12.5133 c=8.9269 alpha=90.00 beta=105.88 gamma=90.00
With the nearest neighbours (Å) after each atom.
Space group C2/m (No. 12)
Inequivalent atoms, fractional coordinates:
Cs 0.0000 0.1676 0.0000  6 Se 3.64-3.65
Er 0.0000 0.3332 0.5000  6 Se 2.87
U 0.0000 0.0000 0.5000  6 Se 2.86
Se 0.2271 0.1657 0.6812  1 U 2.86, 2 Er 2.87
Se 0.2292 0.5000 0.6808  1 U 2.86, 2 Er 2.87

Values from the calculation:
The calculation puts the density of states at the Fermi level at 7.05 states/eV/f.u. The value obtained for the formation energy without anion corrections is -1.5929 eV/atom.

***

(2)
A relaxed structure of Cs3ErU3Se8. Source: the Alexandria database, functional PBE.

Unit cell a=8.4184 b=8.4184 c=25.6798 alpha=90.00 beta=90.00 gamma=120.00
With the nearest neighbours (Å) after each atom.
Space group R-3m (No. 166, hexagonal axes)
Inequivalent atoms, fractional coordinates:
Cs 0.0000 0.5000 0.0000  6 Se 3.62-3.64
Er 0.0000 0.0000 0.5000  6 Se 2.88
U 0.0000 0.5000 0.5000  6 Se 2.90-2.91
Se 0.0000 0.0000 0.2289  3 U 2.91
Se 0.0017 0.5009 0.2276  1 Er 2.88, 2 U 2.90

Values from the calculation:
The calculation puts the density of states at the Fermi level at 17.49 states/eV/f.u. The value obtained for the formation energy without anion corrections is -1.3610 eV/atom.

***

| no. | VASP energy (eV/cell) |
| --- | --- |
| 1 | -121.10 |
| 2 | -267.84 |